# 1
# SmHgPd2

A geometry-optimized SmHgPd2 structure (PBE, Alexandria via LeMat-Bulk).

**Energy of formation**: -0.5439 eV/atom
**Energy**: -4.396 eV/atom

Cell: 7.589 7.328 6.152 Å, 90.00 90.00 90.00°
Atoms (fractional coordinates):
Sm1 0.033 0.250 0.164
Sm2 0.467 0.750 0.664
Sm3 0.533 0.250 0.336
Sm4 0.967 0.750 0.836
Hg1 0.091 0.750 0.333
Hg2 0.409 0.250 0.833
Hg3 0.591 0.750 0.167
Hg4 0.909 0.250 0.667
Pd1 0.212 0.050 0.547
Pd2 0.212 0.450 0.547
Pd3 0.288 0.550 0.047
Pd4 0.288 0.950 0.047
Pd5 0.712 0.050 0.953
Pd6 0.712 0.450 0.953
Pd7 0.788 0.550 0.453
Pd8 0.788 0.950 0.453

=====

# 2
# SmHg4Pd4

A geometry-optimized SmHg4Pd4 structure (PBE, Alexandria via LeMat-Bulk).

**Energy of formation**: -0.2459 eV/atom
**Energy**: -3.212 eV/atom

Cell: 8.956 8.956 4.785 Å, 90.00 90.00 90.00°
Atoms (fractional coordinates):
Sm1 0.250 0.250 0.250
Sm2 0.750 0.750 0.750
Hg1 0.108 0.849 0.693
Hg2 0.151 0.608 0.193
Hg3 0.349 0.892 0.193
Hg4 0.392 0.651 0.693
Hg5 0.608 0.349 0.307
Hg6 0.651 0.108 0.807
Hg7 0.849 0.392 0.807
Hg8 0.892 0.151 0.307
Pd1 0.058 0.148 0.808
Pd2 0.148 0.442 0.692
Pd3 0.352 0.058 0.692
Pd4 0.442 0.352 0.808
Pd5 0.558 0.648 0.192
Pd6 0.648 0.942 0.308
Pd7 0.852 0.558 0.308
Pd8 0.942 0.852 0.192

=====

# 3
# SmSnHgPd

A geometry-optimized SmSnHgPd structure (PBE, Alexandria via LeMat-Bulk).

**Energy of formation**: -0.5689 eV/atom
**Energy**: -4.123 eV/atom

Cell: 5.044 5.044 5.044 Å, 60.00 60.00 60.00°
Atoms (fractional coordinates):
Sm1 0.000 0.000 0.000
Sn1 0.500 0.500 0.500
Hg1 0.750 0.750 0.750
Pd1 0.250 0.250 0.250

=====

# 4
# SmTmHgPd

A geometry-optimized SmTmHgPd structure (PBE, Alexandria via LeMat-Bulk).

**Offset from the most stable computed form**: 0 meV per atom
**Energy of formation**: -0.6748 eV/atom
**Energy**: -4.346 eV/atom

Cell: 3.540 3.540 7.616 Å, 90.00 90.00 90.00°
Atoms (fractional coordinates):
Sm1 0.000 0.000 0.000
Tm1 0.000 0.000 0.454
Hg1 0.500 0.500 0.713
Pd1 0.500 0.500 0.252

=====

# 5
# SmTmHgPd

A geometry-optimized SmTmHgPd structure (PBE, Alexandria via LeMat-Bulk).

**Offset from the most stable computed form**: 50 meV per atom
**Energy of formation**: -0.6247 eV/atom
**Energy**: -4.296 eV/atom

Cell: 5.135 5.135 5.135 Å, 60.00 60.00 60.00°
Atoms (fractional coordinates):
Sm1 0.000 0.000 0.000
Tm1 0.500 0.500 0.500
Hg1 0.750 0.750 0.750
Pd1 0.250 0.250 0.250

=====

# 6
# Sn2HgPd8

A geometry-optimized Sn2HgPd8 structure (PBE, Alexandria via LeMat-Bulk).

**Offset from the most stable computed form**: 0 meV per atom
**Energy of formation**: -0.3708 eV/atom
**Energy**: -4.903 eV/atom

Cell: 7.506 7.506 7.506 Å, 147.43 121.98 68.14°
Atoms (fractional coordinates):
Sn1 0.182 0.182 0.000
Sn2 0.818 0.818 0.000
Hg1 0.500 0.500 0.000
Pd1 0.069 0.338 0.731
Pd2 0.209 0.000 0.209
Pd3 0.344 0.844 0.500
Pd4 0.393 0.662 0.731
Pd5 0.607 0.338 0.269
Pd6 0.656 0.156 0.500
Pd7 0.791 0.000 0.791
Pd8 0.931 0.662 0.269

=====

# 7
# SnHg2Pd9

A geometry-optimized SnHg2Pd9 structure (PBE, Alexandria via LeMat-Bulk).

**Energy of formation**: -0.2320 eV/atom
**Energy**: -4.511 eV/atom

Cell: 4.049 4.049 12.143 Å, 90.00 90.00 90.00°
Atoms (fractional coordinates):
Sn1 0.000 0.000 0.000
Hg1 0.000 0.000 0.333
Hg2 0.000 0.000 0.667
Pd1 0.000 0.500 0.163
Pd2 0.000 0.500 0.500
Pd3 0.000 0.500 0.837
Pd4 0.500 0.000 0.163
Pd5 0.500 0.000 0.500
Pd6 0.500 0.000 0.837
Pd7 0.500 0.500 0.000
Pd8 0.500 0.500 0.331
Pd9 0.500 0.500 0.669

=====

# 8
# SnHg2Pd8

A geometry-optimized SnHg2Pd8 structure (PBE, Alexandria via LeMat-Bulk).

**Offset from the most stable computed form**: 90 meV per atom
**Energy of formation**: -0.1085 eV/atom
**Energy**: -4.304 eV/atom

Cell: 7.480 7.480 5.202 Å, 109.55 109.55 117.77°
Atoms (fractional coordinates):
Sn1 0.000 0.000 0.000
Hg1 0.304 0.696 0.500
Hg2 0.696 0.304 0.500
Pd1 0.104 0.324 0.608
Pd2 0.215 0.785 0.000
Pd3 0.324 0.104 0.608
Pd4 0.404 0.404 0.172
Pd5 0.596 0.596 0.828
Pd6 0.676 0.896 0.392
Pd7 0.785 0.215 0.000
Pd8 0.896 0.676 0.392

=====

# 9
# SnHgPd5

A geometry-optimized SnHgPd5 structure (PBE, Alexandria via LeMat-Bulk).

**Offset from the most stable computed form**: 0 meV per atom
**Energy of formation**: -0.2653 eV/atom
**Energy**: -4.589 eV/atom

Cell: 4.064 4.064 7.595 Å, 90.00 90.00 90.00°
Atoms (fractional coordinates):
Sn1 0.000 0.000 0.000
Hg1 0.500 0.500 0.500
Pd1 0.000 0.000 0.500
Pd2 0.000 0.500 0.230
Pd3 0.000 0.500 0.770
Pd4 0.500 0.000 0.230
Pd5 0.500 0.000 0.770

=====

# 10
# Sn2HgPd7

A geometry-optimized Sn2HgPd7 structure (PBE, Alexandria via LeMat-Bulk).

**Offset from the most stable computed form**: 0 meV per atom
**Energy of formation**: -0.3130 eV/atom
**Energy**: -4.779 eV/atom

Cell: 11.334 11.334 11.334 Å, 159.13 159.13 29.68°
Atoms (fractional coordinates):
Sn1 0.170 0.170 0.000
Sn2 0.830 0.830 0.000
Hg1 0.500 0.500 0.000
Pd1 0.000 0.000 0.000
Pd2 0.092 0.592 0.500
Pd3 0.250 0.750 0.500
Pd4 0.408 0.908 0.500
Pd5 0.592 0.092 0.500
Pd6 0.750 0.250 0.500
Pd7 0.908 0.408 0.500

=====

# 11
# Sn8HgPd2

A geometry-optimized Sn8HgPd2 structure (PBE, Alexandria via LeMat-Bulk).

**Energy of formation**: -0.1391 eV/atom
**Energy**: -4.022 eV/atom

Cell: 7.225 7.225 5.717 Å, 97.89 97.89 105.26°
Atoms (fractional coordinates):
Sn1 0.149 0.417 0.351
Sn2 0.151 0.151 0.774
Sn3 0.236 0.764 0.000
Sn4 0.417 0.149 0.351
Sn5 0.583 0.851 0.649
Sn6 0.764 0.236 0.000
Sn7 0.849 0.849 0.226
Sn8 0.851 0.583 0.649
Hg1 0.500 0.500 0.000
Pd1 0.190 0.810 0.500
Pd2 0.810 0.190 0.500

=====

# 12
# Sn2HgPd

A geometry-optimized Sn2HgPd structure (PBE, Alexandria via LeMat-Bulk).

**Energy of formation**: -0.1696 eV/atom
**Energy**: -3.545 eV/atom

Cell: 6.288 6.288 6.288 Å, 41.60 41.60 41.60°
Atoms (fractional coordinates):
Sn1 0.000 0.000 0.000
Sn2 0.209 0.209 0.209
Hg1 0.431 0.431 0.431
Pd1 0.599 0.599 0.599

=====

# 13
# SnHg3Pd

A geometry-optimized SnHg3Pd structure (PBE, Alexandria via LeMat-Bulk).

**Offset from the most stable computed form**: 0 meV per atom
**Energy of formation**: 0.2061 eV/atom
**Energy**: -1.814 eV/atom

Cell: 5.215 5.215 5.215 Å, 90.00 90.00 90.00°
Atoms (fractional coordinates):
Sn1 0.000 0.000 0.000
Hg1 0.000 0.500 0.500
Hg2 0.500 0.000 0.500
Hg3 0.500 0.500 0.000
Pd1 0.500 0.500 0.500

=====

# 14
# Sn2HgPd8

A geometry-optimized Sn2HgPd8 structure (PBE, Alexandria via LeMat-Bulk).

**Offset from the most stable computed form**: 13 meV per atom
**Energy of formation**: -0.3575 eV/atom
**Energy**: -4.889 eV/atom

Cell: 7.576 7.576 6.525 Å, 108.12 108.12 31.60°
Atoms (fractional coordinates):
Sn1 0.212 0.212 0.167
Sn2 0.788 0.788 0.833
Hg1 0.500 0.500 0.500
Pd1 0.037 0.037 0.228
Pd2 0.152 0.152 0.720
Pd3 0.324 0.324 0.580
Pd4 0.406 0.406 0.036
Pd5 0.594 0.594 0.964
Pd6 0.676 0.676 0.420
Pd7 0.848 0.848 0.280
Pd8 0.963 0.963 0.772

=====

# 15
# Sn2HgPd

A geometry-optimized Sn2HgPd structure (PBE, Alexandria via LeMat-Bulk).

**Energy of formation**: -0.1704 eV/atom
**Energy**: -3.546 eV/atom

Cell: 9.632 9.632 9.632 Å, 21.00 21.00 21.00°
Atoms (fractional coordinates):
Sn1 0.101 0.101 0.101
Sn2 0.899 0.899 0.899
Hg1 0.000 0.000 0.000
Pd1 0.500 0.500 0.500

=====

# 16
# Sn2HgPd5

A geometry-optimized Sn2HgPd5 structure (PBE, Alexandria via LeMat-Bulk).

**Energy of formation**: -0.1663 eV/atom
**Energy**: -4.450 eV/atom

Cell: 8.934 8.934 11.603 Å, 90.00 90.00 160.44°
Atoms (fractional coordinates):
Sn1 0.125 0.875 0.513
Sn2 0.125 0.875 0.987
Sn3 0.875 0.125 0.013
Sn4 0.875 0.125 0.487
Hg1 0.139 0.861 0.250
Hg2 0.861 0.139 0.750
Pd1 0.005 0.995 0.128
Pd2 0.005 0.995 0.372
Pd3 0.133 0.867 0.750
Pd4 0.264 0.736 0.109
Pd5 0.264 0.736 0.391
Pd6 0.736 0.264 0.609
Pd7 0.736 0.264 0.891
Pd8 0.867 0.133 0.250
Pd9 0.995 0.005 0.628
Pd10 0.995 0.005 0.872

=====

# 17
# SnHgPd4

A geometry-optimized SnHgPd4 structure (PBE, Alexandria via LeMat-Bulk).

**Energy of formation**: -0.3080 eV/atom
**Energy**: -4.487 eV/atom

Cell: 4.986 4.986 6.094 Å, 107.66 107.66 45.82°
Atoms (fractional coordinates):
Sn1 0.000 0.000 0.000
Hg1 0.000 0.000 0.500
Pd1 0.334 0.334 0.674
Pd2 0.337 0.337 0.161
Pd3 0.663 0.663 0.839
Pd4 0.666 0.666 0.326

=====

# 18
# Sn3HgPd

A geometry-optimized Sn3HgPd structure (PBE, Alexandria via LeMat-Bulk).

**Offset from the most stable computed form**: 0 meV per atom
**Energy of formation**: 0.0550 eV/atom
**Energy**: -3.446 eV/atom

Cell: 5.241 5.241 5.241 Å, 90.00 90.00 90.00°
Atoms (fractional coordinates):
Sn1 0.000 0.000 0.500
Sn2 0.000 0.500 0.000
Sn3 0.500 0.000 0.000
Hg1 0.500 0.500 0.500
Pd1 0.000 0.000 0.000

=====

# 19
# SnHgPd5

A geometry-optimized SnHgPd5 structure (PBE, Alexandria via LeMat-Bulk).

**Offset from the most stable computed form**: 14 meV per atom
**Energy of formation**: -0.2512 eV/atom
**Energy**: -4.575 eV/atom

Cell: 4.751 4.751 11.601 Å, 90.00 90.00 75.71°
Atoms (fractional coordinates):
Sn1 0.060 0.940 0.750
Sn2 0.940 0.060 0.250
Hg1 0.500 0.500 0.000
Hg2 0.500 0.500 0.500
Pd1 0.021 0.435 0.624
Pd2 0.021 0.435 0.876
Pd3 0.435 0.021 0.124
Pd4 0.435 0.021 0.376
Pd5 0.482 0.518 0.250
Pd6 0.518 0.482 0.750
Pd7 0.565 0.979 0.624
Pd8 0.565 0.979 0.876
Pd9 0.979 0.565 0.124
Pd10 0.979 0.565 0.376

=====

# 20
# Sn3HgPd6

A geometry-optimized Sn3HgPd6 structure (PBE, Alexandria via LeMat-Bulk).

**Energy of formation**: -0.3625 eV/atom
**Energy**: -4.709 eV/atom

Cell: 7.798 7.798 6.602 Å, 90.00 90.00 107.95°
Atoms (fractional coordinates):
Sn1 0.064 0.936 0.500
Sn2 0.212 0.454 0.621
Sn3 0.454 0.212 0.121
Sn4 0.546 0.788 0.621
Sn5 0.788 0.546 0.121
Sn6 0.936 0.064 0.000
Hg1 0.275 0.725 0.212
Hg2 0.725 0.275 0.712
Pd1 0.050 0.431 0.977
Pd2 0.164 0.247 0.297
Pd3 0.220 0.780 0.786
Pd4 0.247 0.164 0.797
Pd5 0.431 0.050 0.477
Pd6 0.460 0.540 0.955
Pd7 0.540 0.460 0.455
Pd8 0.569 0.950 0.977
Pd9 0.753 0.836 0.297
Pd10 0.780 0.220 0.286
Pd11 0.836 0.753 0.797
Pd12 0.950 0.569 0.477

=====

# 21
# SnHg2Pd5

A geometry-optimized SnHg2Pd5 structure (PBE, Alexandria via LeMat-Bulk).

**Energy of formation**: -0.3061 eV/atom
**Energy**: -4.127 eV/atom

Cell: 8.313 8.313 8.313 Å, 150.58 150.58 42.09°
Atoms (fractional coordinates):
Sn1 0.000 0.000 0.000
Hg1 0.254 0.254 0.000
Hg2 0.746 0.746 0.000
Pd1 0.120 0.620 0.500
Pd2 0.380 0.880 0.500
Pd3 0.500 0.500 0.000
Pd4 0.620 0.120 0.500
Pd5 0.880 0.380 0.500

=====

# 22
# SnHg2Pd8

A geometry-optimized SnHg2Pd8 structure (PBE, Alexandria via LeMat-Bulk).

**Offset from the most stable computed form**: 0 meV per atom
**Energy of formation**: -0.1981 eV/atom
**Energy**: -4.393 eV/atom

Cell: 7.888 7.888 7.888 Å, 145.77 135.04 57.70°
Atoms (fractional coordinates):
Sn1 0.000 0.000 0.000
Hg1 0.324 0.324 0.000
Hg2 0.676 0.676 0.000
Pd1 0.105 0.848 0.257
Pd2 0.171 0.671 0.500
Pd3 0.255 0.500 0.755
Pd4 0.410 0.152 0.257
Pd5 0.590 0.848 0.743
Pd6 0.745 0.500 0.245
Pd7 0.829 0.329 0.500
Pd8 0.895 0.152 0.743

=====

# 23
# SnHg2Pd7

A geometry-optimized SnHg2Pd7 structure (PBE, Alexandria via LeMat-Bulk).

**Energy of formation**: 0.0643 eV/atom
**Energy**: -4.031 eV/atom

Cell: 9.253 9.253 2.918 Å, 90.00 90.00 127.33°
Atoms (fractional coordinates):
Sn1 0.000 0.000 0.000
Hg1 0.326 0.674 0.500
Hg2 0.674 0.326 0.500
Pd1 0.124 0.300 0.500
Pd2 0.185 0.815 0.000
Pd3 0.300 0.124 0.500
Pd4 0.500 0.500 0.500
Pd5 0.700 0.876 0.500
Pd6 0.815 0.185 0.000
Pd7 0.876 0.700 0.500